This record from Alexandria describes a relaxed structure of ScSF2. The functional is PBE-GGA.

a = 4.310 Å, b = 4.310 Å, c = 7.541 Å
α = 73.39°, β = 73.39°, γ = 90.00°
Positions (direct):
1 F 0.875 0.033 0.750
2 Sc 0.750 0.250 0.500
3 F 0.375 0.217 0.750
4 S 0.250 0.750 0.500
5 F 0.967 0.625 0.250
6 F 0.783 0.125 0.250
7 Sc 0.000 0.000 0.000
8 S 0.500 0.500 0.000

Calculated values
Energy above the lowest structure with this stoichiometry, meV per atom: 0
Space-group type: I-42d, No. 122
Crystal system: tetragonal
Size of the total moment, μB per formula unit: 1.0
Energy relative to the elements, uncorrected, meV/atom: -2222
Fermi-level density of states, states/eV/cell: 0.36